{"formula": "Na", "functional": "GGA-PBE", "state": "relaxed", "cell": [[-1.888, 3.057, 0.565], [0.448, -1.750, 3.157], [3.254, 0.826, -1.400]], "species": ["Na"], "fractional_positions": [[0.000, 0.000, 0.000]], "spacegroup": "Im-3m", "crystal_system": "cubic", "formation_enthalpy_0k_ev_per_fu": 0.01, "magnetic_moment_mub_per_cell": 0.000, "e_tot_ev_per_atom": -1.305, "vol_a3_per_atom": 37.05}